(1)
! CsTiTl2Sb (meta-GGA SCAN, single point on PBEsol structure); values from VASP
&SYSTEM
  ibrav = 0, nat = 5, ntyp = 4
/
ATOMIC_SPECIES
Cs 132.91 Cs.upf
Sb 121.76 Sb.upf
Tl 204.38 Tl.upf
Ti 47.87 Ti.upf
CELL_PARAMETERS angstrom
6.0297 0.0000 0.0000
0.0000 6.0297 0.0000
0.0000 0.0000 6.1476
ATOMIC_POSITIONS crystal
Cs 0.0000 0.0000 0.0000
Sb 0.0000 0.0000 0.5000
Tl 0.0000 0.5000 0.0000
Tl 0.5000 0.0000 0.0000
Ti 0.5000 0.5000 0.5000
! - symmetry = No. 123
! - formation energy without anion corrections (kJ/mol of formula units) = 675

(2)
! Cs2Zn2Sb (meta-GGA SCAN, single point on PBEsol structure); values from VASP
&SYSTEM
  ibrav = 0, nat = 5, ntyp = 3
/
ATOMIC_SPECIES
Cs 132.91 Cs.upf
Sb 121.76 Sb.upf
Zn 65.41 Zn.upf
CELL_PARAMETERS angstrom
-0.9102 -3.4512 -0.6316
1.1167 0.3336 -3.4322
11.2472 -2.0466 5.3745
ATOMIC_POSITIONS crystal
Cs 0.3893 0.3893 0.7787
Cs 0.6107 0.6107 0.2213
Sb 0.0000 0.0000 0.0000
Zn 0.2500 0.7500 0.5000
Zn 0.7500 0.2500 0.5000
! - symmetry = No. 139
! - formation energy without anion corrections (kJ/mol of formula units) = -5

(3)
! CsZrSb2 (meta-GGA SCAN, single point on PBEsol structure); values from VASP
&SYSTEM
  ibrav = 0, nat = 4, ntyp = 3
/
ATOMIC_SPECIES
Cs 132.91 Cs.upf
Sb 121.76 Sb.upf
Zr 91.22 Zr.upf
CELL_PARAMETERS angstrom
-4.1658 -2.2906 2.6425
-3.9027 -2.5704 -2.7831
-0.4072 -5.4176 0.2596
ATOMIC_POSITIONS crystal
Cs 0.5000 0.5000 0.5000
Sb 0.2500 0.2500 0.2500
Sb 0.7500 0.7500 0.7500
Zr 0.0000 0.0000 0.0000
! - symmetry = No. 225
! - formation energy without anion corrections (kJ/mol of formula units) = 60

(4)
! Cs2ScSn (meta-GGA SCAN, single point on PBEsol structure); values from VASP
&SYSTEM
  ibrav = 0, nat = 4, ntyp = 3
/
ATOMIC_SPECIES
Cs 132.91 Cs.upf
Sc 44.96 Sc.upf
Sn 118.71 Sn.upf
CELL_PARAMETERS angstrom
-4.4229 2.5014 -3.3513
-5.0038 -3.2060 -1.3170
-5.3167 1.4604 2.5789
ATOMIC_POSITIONS crystal
Cs 0.2500 0.2500 0.2500
Cs 0.7500 0.7500 0.7500
Sc 0.0000 0.0000 0.0000
Sn 0.5000 0.5000 0.5000
! - symmetry = No. 225
! - ΔE_f (eV per atom) = 0.662

(5)
! CsSrSc2 (meta-GGA SCAN, single point on PBEsol structure); values from VASP
&SYSTEM
  ibrav = 0, nat = 4, ntyp = 3
/
ATOMIC_SPECIES
Cs 132.91 Cs.upf
Sr 87.62 Sr.upf
Sc 44.96 Sc.upf
CELL_PARAMETERS angstrom
-1.0876 2.7956 -1.7639
-3.3748 0.8489 -0.0063
0.3973 8.7876 10.2497
ATOMIC_POSITIONS crystal
Cs 0.5000 0.5000 0.5000
Sr 0.0000 0.0000 0.0000
Sc 0.9188 0.9188 0.2436
Sc 0.0812 0.0812 0.7564
! - symmetry = No. 166
! - ΔE_f (eV per atom) = 0.768

(6)
! CsScTa3 (meta-GGA SCAN, single point on PBEsol structure); values from VASP
&SYSTEM
  ibrav = 0, nat = 5, ntyp = 3
/
ATOMIC_SPECIES
Cs 132.91 Cs.upf
Sc 44.96 Sc.upf
Ta 180.95 Ta.upf
CELL_PARAMETERS angstrom
4.9848 0.0000 0.0000
0.0000 4.9848 0.0000
0.0000 0.0000 4.9848
ATOMIC_POSITIONS crystal
Cs 0.0000 0.0000 0.0000
Sc 0.5000 0.5000 0.5000
Ta 0.0000 0.5000 0.0000
Ta 0.0000 0.0000 0.5000
Ta 0.5000 0.0000 0.0000
! - symmetry = No. 221
! - ΔE_f (eV per atom) = 2.855

(7)
! CsSc3Te (meta-GGA SCAN, single point on PBEsol structure); values from VASP
&SYSTEM
  ibrav = 0, nat = 5, ntyp = 3
/
ATOMIC_SPECIES
Cs 132.91 Cs.upf
Sc 44.96 Sc.upf
Te 127.60 Te.upf
CELL_PARAMETERS angstrom
-1.9205 3.0764 4.1877
3.5923 -2.4398 3.4398
3.7545 3.9080 -1.1491
ATOMIC_POSITIONS crystal
Cs 0.5000 0.5000 0.5000
Sc 0.0000 0.5000 0.0000
Sc 0.0000 0.0000 0.5000
Sc 0.5000 0.0000 0.0000
Te 0.0000 0.0000 0.0000
! - symmetry = No. 221
! - formation energy without anion corrections (kJ/mol of formula units) = 170

(8)
! CsScTi3 (meta-GGA SCAN, single point on PBEsol structure); values from VASP
&SYSTEM
  ibrav = 0, nat = 5, ntyp = 3
/
ATOMIC_SPECIES
Cs 132.91 Cs.upf
Sc 44.96 Sc.upf
Ti 47.87 Ti.upf
CELL_PARAMETERS angstrom
5.1055 0.0000 0.0000
0.0000 5.1055 0.0000
0.0000 0.0000 5.1055
ATOMIC_POSITIONS crystal
Cs 0.5000 0.5000 0.5000
Sc 0.0000 0.0000 0.0000
Ti 0.0000 0.5000 0.0000
Ti 0.0000 0.0000 0.5000
Ti 0.5000 0.0000 0.0000
! - symmetry = No. 221
! - ΔE_f (eV per atom) = 1.506